The following is a PBE calculation of a geometry-optimized TmSc2Zn3CuAu2 structure, from the Open Quantum Materials Database.

Computed properties:
- size of the total moment (μB/cell) = 0.06
- DFT formation energy (eV/f.u.) = -5.0
- final energy (eV per atom) = -4.02

Lattice parameters (Å, degrees): 3.800 12.345 7.062 90.00 90.00 90.00
Space group Amm2 (No. 38)
Asymmetric unit:
Tm1 0.000 0.000 0.000 (multiplicity 2)
Sc1 0.000 0.201 0.607 (multiplicity 4)
Zn1 0.500 0.000 0.641 (multiplicity 2)
Zn2 0.500 0.120 0.289 (multiplicity 4)
Cu1 0.000 0.000 0.409 (multiplicity 2)
Au1 0.500 0.171 0.903 (multiplicity 4)